Material: Co2CuMo
Method: DFT, PBE
State: relaxed

a = 2.581 Å, b = 3.715 Å, c = 5.137 Å
α = 90.00°, β = 90.00°, γ = 90.00°
Space group Pmm2 (No. 25)
Inequivalent atoms, fractional coordinates:
Co  0.000  0.000  0.000 [1 per cell]
Co  0.500  0.500  0.241 [1 per cell]
Cu  0.000  0.000  0.476 [1 per cell]
Mo  0.500  0.500  0.757 [1 per cell]

Results
calculated volume = 49 Å³ per cell
formation energy from the elements = 0.181 eV per atom
ΔE to the lowest computed polymorph = 106 meV per atom
theoretical density = 9.35 Mg/m³
total DFT energy (no corrections) = -28.4 eV/cell

***

Material: CoCuMo3
Method: DFT, PBE
State: relaxed

a = 4.430 Å, b = 4.430 Å, c = 4.430 Å
α = 90.00°, β = 90.00°, γ = 90.00°
Space group Pm-3m (No. 221)
Inequivalent atoms, fractional coordinates:
Co  0.000  0.000  0.000 [1 per cell]
Cu  0.500  0.500  0.500 [1 per cell]
Mo  0.000  0.000  0.500 [3 per cell]

Results
calculated volume = 87 Å³ per cell
formation energy from the elements = 1.316 eV per atom
ΔE to the lowest computed polymorph = 0 meV per atom
theoretical density = 7.84 Mg/m³
total DFT energy (no corrections) = -37.1 eV/cell

***

Q: ΔE to the lowest computed polymorph of number 1 (Co2CuMo)?
A: 106 meV per atom

***

Q: The highest formation energy from the elements belongs to which entry?
A: CoCuMo3

***

Q: Look up the formation energy from the elements of the second one.
A: 1.316 eV per atom

***

Q: The highest ΔE to the lowest computed polymorph belongs to which entry?
A: Co2CuMo